(1)
Entry from the Alexandria database: Mg16Si8HO32 after structural relaxation (GGA-PBEsol).

Properties
- excess energy over the best structure of this formula in the dataset (eV/atom) = 0.0000
- E (eV per atom) = -7.05
- N(E_F) (states/eV/cell) = 0.000
- total magnetic moment (Bohr magnetons per cell) = 1.00
- mass density (g/cm³) = 3.2

Lattice parameters (Å, degrees): 6.0027 9.5458 10.2220 90.03 90.00 90.00
With the nearest neighbours (Å) after each atom.
Fractional coordinates of all 57 atoms:
O  0.0000  0.8566  0.9488  1 Si 1.67
O  0.0000  0.3576  0.9487  1 Si 1.67
O  0.7825  0.8585  0.1660  1 Si 1.65
O  0.2176  0.8850  0.6667  1 Si 1.65
O  0.7177  0.1082  0.3401  1 Si 1.65
O  0.0000  0.1305  0.5952  1 Si 1.63
O  0.7842  0.3559  0.1664  1 Si 1.65
O  0.5000  0.1073  0.5574  1 Si 1.67
O  0.5000  0.8812  0.9095  1 Si 1.63
O  0.7828  0.3846  0.6670  1 Si 1.65
O  0.7824  0.8850  0.6667  1 Si 1.65
O  0.2175  0.8585  0.1660  1 Si 1.65
O  0.5000  0.1351  0.0569  1 Si 1.67
O  0.2823  0.1352  0.8397  1 Si 1.65
O  0.2824  0.6347  0.8386  1 Si 1.65
O  0.5000  0.3618  0.4152  1 Si 1.63
O  0.0000  0.6121  0.0948  1 Si 1.63
O  0.0000  0.3856  0.4496  1 Si 1.67
O  0.2158  0.3559  0.1664  1 Si 1.65
O  0.7176  0.6347  0.8386  1 Si 1.65
O  0.0000  0.1111  0.0932  1 Si 1.63
O  0.2172  0.3846  0.6670  1 Si 1.65
O  0.7177  0.1352  0.8397  1 Si 1.65
O  0.7219  0.6109  0.3419  1 Si 1.66
O  0.5000  0.6069  0.5553  1 Si 1.68
O  0.5000  0.8628  0.4116  1 Si 1.63
O  0.0000  0.6306  0.5958  1 Si 1.63
O  0.0000  0.8857  0.4495  1 Si 1.67
O  0.2823  0.1082  0.3401  1 Si 1.65
O  0.5000  0.6388  0.0554  1 Si 1.67
O  0.2781  0.6109  0.3419  1 Si 1.66
O  0.5000  0.3807  0.9119  1 Si 1.63
Mg  0.7501  0.2465  0.5040  6 O 2.07-2.14
Mg  0.2500  0.9961  0.0021  6 O 2.08-2.14
Mg  0.5000  0.9928  0.7261  6 O 2.04-2.21
Mg  0.0000  0.4999  0.2801  6 O 2.05-2.22
Mg  0.0000  0.7421  0.7794  6 O 2.05-2.21
Mg  0.2501  0.4967  0.0024  6 O 2.08-2.16
Mg  0.2499  0.2465  0.5040  6 O 2.07-2.14
Mg  0.5000  0.4922  0.7245  6 O 2.05-2.22
Mg  0.5000  0.7534  0.2264  6 O 2.06-2.24
Mg  0.7495  0.7465  0.5043  6 O 2.07-2.13
Mg  0.0000  0.0005  0.2800  6 O 2.05-2.21
Mg  0.7500  0.9961  0.0021  6 O 2.08-2.14
Mg  0.2505  0.7465  0.5043  6 O 2.07-2.13
Mg  0.0000  0.2425  0.7795  6 O 2.05-2.21
Mg  0.5000  0.2498  0.2269  6 O 2.05-2.21, 1 H 2.29
Mg  0.7499  0.4967  0.0024  6 O 2.08-2.16
Si  0.0000  0.4601  0.5972  4 O 1.63-1.67
Si  0.0000  0.9600  0.5970  4 O 1.63-1.67
Si  0.0000  0.2814  0.0953  4 O 1.63-1.67
Si  0.5000  0.2101  0.9095  4 O 1.63-1.67
Si  0.5000  0.5327  0.4062  4 O 1.63-1.68
Si  0.5000  0.0332  0.4097  4 O 1.63-1.67
Si  0.0000  0.7829  0.0967  4 O 1.63-1.67
Si  0.5000  0.7108  0.9070  4 O 1.63-1.67
H  0.5000  0.4890  0.2133  1 Si 2.02, 5 O 2.16-2.20

***

(2)
Entry from the Alexandria database: Mg16Si8HO32 after structural relaxation (GGA-PBEsol).

Properties
- excess energy over the best structure of this formula in the dataset (eV/atom) = 0.0115
- E (eV per atom) = -7.04
- N(E_F) (states/eV/cell) = 1.780
- total magnetic moment (Bohr magnetons per cell) = 0.00
- mass density (g/cm³) = 3.1

Lattice parameters (Å, degrees): 6.0524 9.5652 10.2729 90.25 90.87 90.72
With the nearest neighbours (Å) after each atom.
Fractional coordinates of all 57 atoms:
Si  0.7520  0.2860  0.9048  4 O 1.63-1.68
Si  0.2454  0.0336  0.5968  4 O 1.63-1.68
Si  0.7456  0.9638  0.4065  4 O 1.64-1.67
Si  0.7421  0.4630  0.4052  4 O 1.62-1.75
Si  0.7531  0.7856  0.9051  4 O 1.63-1.67
Si  0.2556  0.7161  0.0921  4 O 1.63-1.67
Si  0.2442  0.5352  0.5945  4 O 1.63-1.68
Si  0.2634  0.2171  0.0934  4 O 1.63-1.66
O  0.2375  0.6094  0.4470  1 Si 1.68
O  0.7445  0.3882  0.5502  1 Si 1.66
O  0.2604  0.8869  0.0911  1 Si 1.63
O  0.7565  0.1154  0.9094  1 Si 1.63
O  0.2456  0.8634  0.5931  1 Si 1.63
O  0.0320  0.1098  0.6653  1 Si 1.66
O  0.7482  0.1353  0.4082  1 Si 1.64
O  0.0300  0.6097  0.6635  1 Si 1.65
O  0.5366  0.8602  0.8355  1 Si 1.65
O  0.9600  0.8884  0.3375  1 Si 1.66
O  0.4958  0.3886  0.3437  1 H 1.03
O  0.0550  0.1318  0.1614  1 Si 1.66
O  0.7464  0.8888  0.5532  1 Si 1.67
O  0.7384  0.6321  0.4058  1 Si 1.62
O  0.9678  0.3612  0.8356  1 Si 1.65
O  0.4677  0.6389  0.1638  1 Si 1.65
O  0.7560  0.8614  0.0522  1 Si 1.67
O  0.2469  0.1091  0.4500  1 Si 1.68
O  0.7566  0.3607  0.0527  1 Si 1.68
O  0.4648  0.6112  0.6616  1 Si 1.65
O  0.2533  0.6403  0.9455  1 Si 1.67
O  0.2660  0.1395  0.9485  1 Si 1.66
O  0.5268  0.8884  0.3367  1 Si 1.65
O  0.2461  0.3644  0.5934  1 Si 1.63
O  0.2484  0.3873  0.0921  1 Si 1.63
O  0.4809  0.1592  0.1753  1 Si 1.65, 1 H 1.77
O  0.9697  0.8606  0.8365  1 Si 1.66
O  0.0350  0.6431  0.1601  1 Si 1.66
O  0.7507  0.6152  0.9070  1 Si 1.63
O  0.4647  0.1086  0.6678  1 Si 1.66
O  0.5349  0.3609  0.8359  1 Si 1.66
O  0.9451  0.3867  0.3292  1 Si 1.64
Mg  0.2207  0.5078  0.2745  5 O 2.02-2.21
Mg  0.2502  0.7535  0.7768  6 O 2.05-2.24
Mg  0.9978  0.2476  0.5027  6 O 2.07-2.25
Mg  0.2470  0.9931  0.2806  5 O 2.05-2.19
Mg  0.7949  0.2335  0.2119  4 O 1.94-2.08, 1 H 2.15
Mg  0.0105  0.9985  0.9967  6 O 2.09-2.13
Mg  0.0026  0.5020  0.9952  6 O 2.07-2.17
Mg  0.4992  0.2436  0.5137  6 O 2.05-2.24
Mg  0.2479  0.2546  0.7791  6 O 2.07-2.25
Mg  0.5034  0.5009  0.0001  6 O 2.09-2.16
Mg  0.7496  0.0020  0.7233  6 O 2.05-2.23
Mg  0.5083  0.9979  0.9965  5 O 2.06-2.12
Mg  0.7508  0.7478  0.2208  6 O 2.05-2.27
Mg  0.7460  0.5050  0.7226  6 O 2.08-2.25
Mg  0.4922  0.7502  0.4992  6 O 2.09-2.15
Mg  0.9923  0.7495  0.5025  6 O 2.08-2.17
H  0.4825  0.3073  0.2786  1 O 1.03

***

(3)
Entry from the Alexandria database: MgTeH12O9 after structural relaxation (GGA-PBEsol).

Properties
- E (eV per atom) = -5.23
- N(E_F) (states/eV/cell) = 0.000
- total magnetic moment (Bohr magnetons per cell) = 0.00
- mass density (g/cm³) = 2.6

Lattice parameters (Å, degrees): 5.8869 5.8869 5.8869 98.66 98.66 98.66
With the nearest neighbours (Å) after each atom.
Fractional coordinates of all 23 atoms:
O  0.6660  0.8670  0.0420  2 H 1.01-1.02
O  0.3461  0.1381  0.9685  2 H 1.02-1.03
O  0.8670  0.0420  0.6660  2 H 1.01-1.02
O  0.5952  0.5008  0.2419  3 H 1.55-1.61
O  0.9685  0.3461  0.1381  2 H 1.02-1.03
O  0.0420  0.6660  0.8670  2 H 1.01-1.02
O  0.5008  0.2419  0.5952  3 H 1.55-1.61
O  0.2419  0.5952  0.5008  3 H 1.55-1.61
O  0.1381  0.9685  0.3461  2 H 1.02-1.03
H  0.7321  0.1272  0.6285  1 O 1.02
H  0.1774  0.8163  0.3908  1 O 1.02
H  0.0272  0.5329  0.9562  1 O 1.01
H  0.2838  0.0878  0.4310  1 O 1.03
H  0.3908  0.1774  0.8163  1 O 1.02
H  0.4310  0.2838  0.0878  1 O 1.03
H  0.9562  0.0272  0.5329  1 O 1.01
H  0.8163  0.3908  0.1774  1 O 1.02
H  0.5329  0.9562  0.0272  1 O 1.01
H  0.6285  0.7321  0.1272  1 O 1.02
H  0.1272  0.6285  0.7321  1 O 1.02
H  0.0878  0.4310  0.2838  1 O 1.03
Te  0.5599  0.5599  0.5599  3 O 1.90
Mg  0.0016  0.0016  0.0016  6 O 2.08-2.11

***

(4)
Entry from the Alexandria database: Mg2H6Os after structural relaxation (GGA-PBEsol).

Properties
- E (eV per atom) = -4.31
- N(E_F) (states/eV/cell) = 0.000
- total magnetic moment (Bohr magnetons per cell) = 0.00
- mass density (g/cm³) = 5.6

Lattice parameters (Å, degrees): 4.6772 4.6772 4.6772 60.00 60.00 60.00
With the nearest neighbours (Å) after each atom.
Fractional coordinates of all 9 atoms:
H  0.7441  0.7441  0.2559  1 Os 1.69
H  0.2559  0.7441  0.7441  1 Os 1.69
H  0.7441  0.2559  0.2559  1 Os 1.69
H  0.7441  0.2559  0.7441  1 Os 1.69
H  0.2559  0.2559  0.7441  1 Os 1.69
H  0.2559  0.7441  0.2559  1 Os 1.69
Os  0.0000  0.0000  0.0000  6 H 1.69
Mg  0.2500  0.2500  0.2500  12 H 2.34
Mg  0.7500  0.7500  0.7500  12 H 2.34

***

(5)
Entry from the Alexandria database: Mg2PHW after structural relaxation (GGA-PBEsol).

Properties
- E (eV per atom) = -4.43
- N(E_F) (states/eV/cell) = 3.222
- total magnetic moment (Bohr magnetons per cell) = 0.00
- mass density (g/cm³) = 5.5

Lattice parameters (Å, degrees): 3.0077 5.1701 5.1701 90.00 90.00 90.00
With the nearest neighbours (Å) after each atom.
Fractional coordinates of all 5 atoms:
Mg  0.0000  0.5000  0.0000  2 P 2.59
Mg  0.0000  0.0000  0.5000  2 P 2.59
P  0.0000  0.0000  0.0000  2 H 1.50
H  0.5000  0.0000  0.0000  2 P 1.50
W  0.5000  0.5000  0.5000  8 Mg 2.99, 2 W 3.01

***

(6)
Entry from the Alexandria database: Mg3HPb after structural relaxation (GGA-PBEsol).

Properties
- E (eV per atom) = -2.54
- N(E_F) (states/eV/cell) = 1.459
- total magnetic moment (Bohr magnetons per cell) = 0.00
- mass density (g/cm³) = 5.1

Lattice parameters (Å, degrees): 4.5154 4.5154 4.5154 90.00 90.00 90.00
With the nearest neighbours (Å) after each atom.
Fractional coordinates of all 5 atoms:
Mg  0.0000  0.0000  0.5000  2 H 2.26
Mg  0.0000  0.5000  0.0000  2 H 2.26
Mg  0.5000  0.0000  0.0000  2 H 2.26
Pb  0.5000  0.5000  0.5000  12 Mg 3.19
H  0.0000  0.0000  0.0000  6 Mg 2.26